1.
Compound: Ac14HoMg
Source: Alexandria
Functional: PBE-GGA
Structure: optimized geometry

Cell and atoms, written as POSCAR:
```
Ac14HoMg
1.0
-7.257 -0.112 2.945
2.850 -2.250 6.940
1.063 10.683 3.027
Ac Ho Mg
14 1 1
Direct
0.626 0.374 0.245
0.125 0.375 0.243
0.626 0.374 0.755
0.125 0.875 0.759
0.374 0.124 0.500
0.377 0.128 0.000
0.625 0.875 0.757
0.872 0.623 0.000
0.876 0.124 0.500
0.876 0.626 0.500
0.125 0.375 0.757
0.125 0.875 0.241
0.375 0.625 0.500
0.625 0.875 0.243
0.875 0.125 0.000
0.375 0.625 0.000
```

Computed properties:
Energy relative to the elements   20 meV/atom
Size of the total moment   0.00 μB per formula unit
SG   Amm2
Uncorrected energy   -63.37 eV per cell

2.
Compound: Ac6HoMg
Source: Alexandria
Functional: PBE-GGA
Structure: optimized geometry

Cell and atoms, written as POSCAR:
```
Ac6HoMg
1.0
-2.699 4.608 1.718
-3.183 -3.131 3.397
3.955 1.953 10.138
Ac Ho Mg
6 1 1
Direct
0.614 0.114 0.772
0.250 0.250 0.500
0.886 0.386 0.228
0.386 0.886 0.228
0.750 0.750 0.500
0.114 0.614 0.772
0.500 0.500 0.000
0.000 0.000 0.000
```

Computed properties:
Energy relative to the elements   31 meV/atom
Size of the total moment   0.00 μB per formula unit
SG   I4/mmm
Uncorrected energy   -30.58 eV per cell